The following is a PBE calculation of La2DyTm2Hg5 after structural relaxation, from Alexandria via LeMat-Bulk.

Computed properties:
Its density of states at the Fermi level is 0.684 states/eV per atom. The calculation puts the formation energy at -0.360 eV/atom.

```
data_La2DyTm2Hg5
_chemical_formula_sum 'La4 Dy2 Tm4 Hg10'
_space_group_name_H-M_alt 'P 4/m b m'
_space_group_IT_number 127
_space_group_name_Hall '-P 4 2ab'
_cell_length_a 11.974
_cell_length_b 11.974
_cell_length_c 3.934
_cell_angle_alpha 90.00
_cell_angle_beta 90.00
_cell_angle_gamma 90.00
loop_
_atom_site_label
_atom_site_type_symbol
_atom_site_fract_x
_atom_site_fract_y
_atom_site_fract_z
La1 La 0.171 0.329 0.000
Dy1 Dy 0.000 0.000 0.000
Tm1 Tm 0.131 0.631 0.000
Hg1 Hg 0.000 0.500 0.500
Hg2 Hg 0.088 0.820 0.500
```



The following is a PBE calculation of AcLa2PdO5 after structural relaxation, from Alexandria via LeMat-Bulk.

Computed properties:
The value obtained for the formation energy without anion corrections is -2649 meV/atom.

```
data_AcLa2PdO5
_chemical_formula_sum 'Ac2 La4 Pd2 O10'
_space_group_name_H-M_alt 'P 4/m b m'
_space_group_IT_number 127
_space_group_name_Hall '-P 4 2ab'
_cell_length_a 6.810
_cell_length_b 6.810
_cell_length_c 6.054
_cell_angle_alpha 90.00
_cell_angle_beta 90.00
_cell_angle_gamma 90.00
loop_
_atom_site_label
_atom_site_type_symbol
_atom_site_fract_x
_atom_site_fract_y
_atom_site_fract_z
Ac1 Ac 0.000 0.000 0.000
La1 La 0.166 0.334 0.500
Pd1 Pd 0.000 0.500 0.000
O1 O 0.000 0.000 0.500
O2 O 0.165 0.665 0.240
```



The following is a PBE calculation of Nb2TlCr after structural relaxation, from Alexandria via LeMat-Bulk.

Computed properties:
The value obtained for the energy above the most stable polymorph in this dataset is 0.2770 eV/atom. Its density of states at the Fermi level is 1.044 states/eV per atom. The calculation puts the formation energy at 0.815 eV/atom.

```
data_Nb2TlCr
_chemical_formula_sum 'Nb8 Tl4 Cr4'
_space_group_name_H-M_alt 'I -4 2 d'
_space_group_IT_number 122
_space_group_name_Hall 'I -4 2bw'
_cell_length_a 3.932
_cell_length_b 3.932
_cell_length_c 20.561
_cell_angle_alpha 90.00
_cell_angle_beta 90.00
_cell_angle_gamma 90.00
loop_
_atom_site_label
_atom_site_type_symbol
_atom_site_fract_x
_atom_site_fract_y
_atom_site_fract_z
Nb1 Nb 0.244 0.250 0.125
Tl1 Tl 0.000 0.000 0.500
Cr1 Cr 0.000 0.000 0.000
```



The following is a PBE calculation of Ce2Si3Pd5 after structural relaxation, from Alexandria via LeMat-Bulk.

Computed properties:
Its density of states at the Fermi level is 0.928 states/eV per atom. The value obtained for the formation energy without anion corrections is -779 meV/atom.

```
data_Ce2Si3Pd5
_chemical_formula_sum 'Ce8 Si12 Pd20'
_space_group_name_H-M_alt 'C m c 21'
_space_group_IT_number 36
_cell_length_a 4.337
_cell_length_b 23.881
_cell_length_c 6.805
_cell_angle_alpha 90.00
_cell_angle_beta 90.00
_cell_angle_gamma 90.00
loop_
_space_group_symop_operation_xyz
'x,y,z'
'-x,-y,z+1/2'
'-x,y,z'
'x,-y,z+1/2'
'x+1/2,y+1/2,z'
'-x+1/2,-y+1/2,z+1/2'
'-x+1/2,y+1/2,z'
'x+1/2,-y+1/2,z+1/2'
loop_
_atom_site_label
_atom_site_type_symbol
_atom_site_fract_x
_atom_site_fract_y
_atom_site_fract_z
Ce1 Ce 0.000 0.017 0.000
Ce2 Ce 0.000 0.327 0.016
Si1 Si 0.000 0.105 0.689
Si2 Si 0.000 0.276 0.571
Si3 Si 0.000 0.445 0.802
Pd1 Pd 0.000 0.107 0.299
Pd2 Pd 0.000 0.199 0.855
Pd3 Pd 0.000 0.226 0.260
Pd4 Pd 0.000 0.376 0.519
Pd5 Pd 0.000 0.449 0.193
```



The following is a PBE calculation of BPtAu2O after structural relaxation, from Alexandria via LeMat-Bulk.

Computed properties:
Its density of states at the Fermi level is 0.616 states/eV per atom. The value obtained for the formation energy without anion corrections is 1139 meV/atom.

```
data_BPtAu2O
_chemical_formula_sum 'B1 Pt1 Au2 O1'
_space_group_name_H-M_alt 'P 4/m m m'
_space_group_IT_number 123
_space_group_name_Hall '-P 4 2'
_cell_length_a 5.249
_cell_length_b 5.249
_cell_length_c 3.673
_cell_angle_alpha 90.00
_cell_angle_beta 90.00
_cell_angle_gamma 90.00
loop_
_atom_site_label
_atom_site_type_symbol
_atom_site_fract_x
_atom_site_fract_y
_atom_site_fract_z
B1 B 0.000 0.000 0.000
Pt1 Pt 0.500 0.500 0.500
Au1 Au 0.000 0.500 0.500
O1 O 0.500 0.500 0.000
```



The following is a PBE calculation of VZn3Br after structural relaxation, from Alexandria via LeMat-Bulk.

Computed properties:
The value obtained for the energy above the most stable polymorph in this dataset is 0.5363 eV/atom. Its density of states at the Fermi level is 1.130 states/eV per atom. The value obtained for the formation energy without anion corrections is 1179 meV/atom.

```
data_VZn3Br
_chemical_formula_sum 'V1 Zn3 Br1'
_space_group_name_H-M_alt 'P m -3 m'
_space_group_IT_number 221
_space_group_name_Hall '-P 4 2 3'
_cell_length_a 5.084
_cell_length_b 5.084
_cell_length_c 5.084
_cell_angle_alpha 90.00
_cell_angle_beta 90.00
_cell_angle_gamma 90.00
loop_
_atom_site_label
_atom_site_type_symbol
_atom_site_fract_x
_atom_site_fract_y
_atom_site_fract_z
V1 V 0.000 0.000 0.000
Zn1 Zn 0.000 0.500 0.500
Br1 Br 0.500 0.500 0.500
```



The following is a PBE calculation of CsCa2PrI8 after structural relaxation, from Alexandria via LeMat-Bulk.

Computed properties:
Its density of states at the Fermi level is 0.000 states/eV per atom. The value obtained for the formation energy without anion corrections is -1471 meV/atom.

```
data_CsCa2PrI8
_chemical_formula_sum 'Cs1 Ca2 Pr1 I8'
_space_group_name_H-M_alt 'P -1'
_space_group_IT_number 2
_cell_length_a 7.433
_cell_length_b 7.826
_cell_length_c 9.973
_cell_angle_alpha 89.94
_cell_angle_beta 89.91
_cell_angle_gamma 89.33
loop_
_space_group_symop_operation_xyz
'x,y,z'
'-x,-y,-z'
loop_
_atom_site_label
_atom_site_type_symbol
_atom_site_fract_x
_atom_site_fract_y
_atom_site_fract_z
Cs1 Cs 0.000 0.000 0.000
Ca1 Ca 0.500 0.500 0.248
Pr1 Pr 0.000 0.000 0.500
I1 I 0.258 0.335 0.500
I2 I 0.258 0.832 0.712
I3 I 0.259 0.833 0.288
I4 I 0.268 0.391 0.000
```



The following is a PBE calculation of CuSN2O after structural relaxation, from Alexandria via LeMat-Bulk.

Computed properties:
Its density of states at the Fermi level is 0.416 states/eV per atom. The value obtained for the formation energy without anion corrections is 2185 meV/atom.

```
data_CuSN2O
_chemical_formula_sum 'Cu1 S1 N2 O1'
_space_group_name_H-M_alt 'P 4/m m m'
_space_group_IT_number 123
_space_group_name_Hall '-P 4 2'
_cell_length_a 3.780
_cell_length_b 3.780
_cell_length_c 3.813
_cell_angle_alpha 90.00
_cell_angle_beta 90.00
_cell_angle_gamma 90.00
loop_
_atom_site_label
_atom_site_type_symbol
_atom_site_fract_x
_atom_site_fract_y
_atom_site_fract_z
Cu1 Cu 0.000 0.000 0.000
S1 S 0.500 0.500 0.000
N1 N 0.000 0.500 0.500
O1 O 0.500 0.500 0.500
```



The following is a PBE calculation of LaZnIn2 after structural relaxation, from Alexandria via LeMat-Bulk.

Computed properties:
Its density of states at the Fermi level is 0.483 states/eV per atom. The calculation puts the formation energy at -0.332 eV/atom.

```
data_LaZnIn2
_chemical_formula_sum 'La2 Zn2 In4'
_space_group_name_H-M_alt 'C 1 m 1'
_space_group_IT_number 8
_cell_length_a 8.115
_cell_length_b 4.690
_cell_length_c 6.180
_cell_angle_alpha 90.00
_cell_angle_beta 116.01
_cell_angle_gamma 90.00
loop_
_space_group_symop_operation_xyz
'x,y,z'
'x,-y,z'
'x+1/2,y+1/2,z'
'x+1/2,-y+1/2,z'
loop_
_atom_site_label
_atom_site_type_symbol
_atom_site_fract_x
_atom_site_fract_y
_atom_site_fract_z
La1 La 0.000 0.000 0.000
Zn1 Zn 0.267 0.500 0.299
In1 In 0.219 0.000 0.656
In2 In 0.474 0.000 0.423
```



The following is a PBE calculation of Pm2BeZn4Ga3 after structural relaxation, from Alexandria via LeMat-Bulk.

Computed properties:
Its density of states at the Fermi level is 0.441 states/eV per atom. The calculation puts the formation energy at -0.392 eV/atom.

```
data_Pm2BeZn4Ga3
_chemical_formula_sum 'Pm2 Be1 Zn4 Ga3'
_space_group_name_H-M_alt 'P -4 m 2'
_space_group_IT_number 115
_cell_length_a 4.182
_cell_length_b 4.182
_cell_length_c 10.453
_cell_angle_alpha 90.00
_cell_angle_beta 90.00
_cell_angle_gamma 90.00
loop_
_space_group_symop_operation_xyz
'x,y,z'
'y,-x,-z'
'-x,-y,z'
'-y,x,-z'
'-x,y,z'
'-y,-x,-z'
'x,-y,z'
'y,x,-z'
loop_
_atom_site_label
_atom_site_type_symbol
_atom_site_fract_x
_atom_site_fract_y
_atom_site_fract_z
Pm1 Pm 0.000 0.500 0.243
Be1 Be 0.500 0.500 0.000
Zn1 Zn 0.000 0.000 0.500
Zn2 Zn 0.000 0.500 0.876
Zn3 Zn 0.500 0.500 0.500
Ga1 Ga 0.000 0.000 0.000
Ga2 Ga 0.000 0.500 0.641
```



The following is a PBE calculation of Zn2PdCl8 after structural relaxation, from Alexandria via LeMat-Bulk.

Computed properties:
The value obtained for the formation energy without anion corrections is -730 meV/atom.

```
data_Zn2PdCl8
_chemical_formula_sum 'Zn4 Pd2 Cl16'
_space_group_name_H-M_alt 'C 1 2/m 1'
_space_group_IT_number 12
_cell_length_a 13.774
_cell_length_b 7.346
_cell_length_c 6.134
_cell_angle_alpha 90.00
_cell_angle_beta 93.61
_cell_angle_gamma 90.00
loop_
_space_group_symop_operation_xyz
'x,y,z'
'-x,-y,-z'
'-x,y,-z'
'x,-y,z'
'x+1/2,y+1/2,z'
'-x+1/2,-y+1/2,-z'
'-x+1/2,y+1/2,-z'
'x+1/2,-y+1/2,z'
loop_
_atom_site_label
_atom_site_type_symbol
_atom_site_fract_x
_atom_site_fract_y
_atom_site_fract_z
Zn1 Zn 0.161 0.000 0.444
Pd1 Pd 0.000 0.000 0.000
Cl1 Cl 0.070 0.222 0.244
Cl2 Cl 0.148 0.000 0.821
Cl3 Cl 0.181 0.500 0.578
```



The following is a PBE calculation of SnS after structural relaxation, from Alexandria via LeMat-Bulk.

Computed properties:
Its density of states at the Fermi level is 0.020 states/eV per atom. The value obtained for the formation energy without anion corrections is -356 meV/atom.

```
data_SnS
_chemical_formula_sum 'Sn1 S1'
_space_group_name_H-M_alt 'P 3 m 1'
_space_group_IT_number 156
_cell_length_a 3.8356
_cell_length_b 3.8356
_cell_length_c 4.4988
_cell_angle_alpha 90.00
_cell_angle_beta 90.00
_cell_angle_gamma 120.00
loop_
_space_group_symop_operation_xyz
'x,y,z'
'-y,x-y,z'
'-x+y,-x,z'
'-y,-x,z'
'-x+y,y,z'
'x,x-y,z'
loop_
_atom_site_label
_atom_site_type_symbol
_atom_site_fract_x
_atom_site_fract_y
_atom_site_fract_z
Sn1 Sn 0.0000 0.0000 0.0000
S1 S 0.6667 0.3333 0.3258
```